[1]
Compound: SrPr6Sm2
Source: the Alexandria database
Functional: PBE
Structure: optimized geometry

Unit cell a=15.903 b=5.281 c=8.381 alpha=90.00 beta=108.65 gamma=90.00
Space group C2/m (No. 12)
One atom of each set of equivalent atoms:
Sr: 0.000 0.000 0.000
Pr: 0.057 0.500 0.347
Pr: 0.173 0.500 0.997
Pr: 0.226 0.000 0.339
Sm: 0.112 0.000 0.658

## Properties
Formation energy ... 0.5 eV/f.u.

=====

[2]
Compound: SrPr2Sm
Source: the Alexandria database
Functional: PBE
Structure: optimized geometry

Unit cell a=3.7112 b=3.7112 c=39.6669 alpha=90.00 beta=90.00 gamma=120.00
Space group R-3m (No. 166, hexagonal axes)
One atom of each set of equivalent atoms:
Sr: 0.0000 0.0000 0.0000
Pr: 0.0000 0.0000 0.0926
Sm: 0.0000 0.0000 0.5000

## Properties
Energy above the most stable polymorph in this dataset ... 0.093 eV per atom
Formation energy ... 0.7 eV/f.u.

=====

[3]
Compound: SrPrSm2
Source: the Alexandria database
Functional: PBE
Structure: optimized geometry

Unit cell a=3.758 b=3.758 c=10.846 alpha=90.00 beta=90.00 gamma=90.00
Space group P4/mmm (No. 123)
One atom of each set of equivalent atoms:
Sr: 0.000 0.000 0.000
Pr: 0.000 0.000 0.500
Sm: 0.500 0.500 0.274

## Properties
Energy above the most stable polymorph in this dataset ... 0.002 eV per atom
Formation energy ... 0.4 eV/f.u.

=====

[4]
Compound: SrPr2Sm
Source: the Alexandria database
Functional: PBE
Structure: optimized geometry

Unit cell a=3.7805 b=3.7805 c=37.5572 alpha=90.00 beta=90.00 gamma=120.00
Space group R3m (No. 160, hexagonal axes)
One atom of each set of equivalent atoms:
Sr: 0.0000 0.0000 0.0000
Pr: 0.0000 0.0000 0.2445
Pr: 0.0000 0.0000 0.4229
Sm: 0.0000 0.0000 0.8339

## Properties
Energy above the most stable polymorph in this dataset ... 0.004 eV per atom
Formation energy ... 0.3 eV/f.u.

=====

[5]
Compound: SrPrSm2
Source: the Alexandria database
Functional: PBE
Structure: optimized geometry

Unit cell a=3.7627 b=3.7627 c=37.2261 alpha=90.00 beta=90.00 gamma=120.00
Space group R3m (No. 160, hexagonal axes)
One atom of each set of equivalent atoms:
Sr: 0.0000 0.0000 0.0000
Pr: 0.0000 0.0000 0.1657
Sm: 0.0000 0.0000 0.5776
Sm: 0.0000 0.0000 0.7546

## Properties
Energy above the most stable polymorph in this dataset ... 0.000 eV per atom
Formation energy ... 0.4 eV/f.u.

=====

[6]
Compound: Sr3Pr2SmTe6
Source: the Alexandria database
Functional: PBE
Structure: optimized geometry

Unit cell a=20.241 b=4.564 c=9.304 alpha=90.00 beta=104.95 gamma=90.00
Space group C2/m (No. 12)
One atom of each set of equivalent atoms:
Sr: 0.000 0.000 0.000
Sr: 0.168 0.500 0.334
Pr: 0.169 0.500 0.837
Sm: 0.000 0.000 0.500
Te: 0.002 0.500 0.741
Te: 0.163 0.000 0.587
Te: 0.167 0.000 0.081

## Properties
Uncorrected formation energy ... -1.5549 eV/atom

=====

[7]
Compound: SrPr4Sm3Te8
Source: the Alexandria database
Functional: PBE
Structure: optimized geometry

Unit cell a=9.0161 b=9.0161 c=22.2415 alpha=90.00 beta=90.00 gamma=120.00
Space group R-3m (No. 166, hexagonal axes)
One atom of each set of equivalent atoms:
Sr: 0.0000 0.0000 0.0000
Pr: 0.0000 0.0000 0.5000
Pr: 0.0000 0.5000 0.5000
Sm: 0.0000 0.5000 0.0000
Te: 0.0000 0.0000 0.2524
Te: 0.0045 0.5022 0.2513

## Properties
Uncorrected formation energy ... -1.4390 eV/atom

=====

[8]
Compound: SrPr3Sm2Te6
Source: the Alexandria database
Functional: PBE
Structure: optimized geometry

Unit cell a=19.765 b=4.515 c=9.111 alpha=90.00 beta=103.74 gamma=90.00
Space group C2/m (No. 12)
One atom of each set of equivalent atoms:
Sr: 0.000 0.000 0.000
Pr: 0.000 0.000 0.500
Pr: 0.164 0.500 0.821
Sm: 0.171 0.500 0.342
Te: 0.004 0.500 0.254
Te: 0.166 0.000 0.577
Te: 0.169 0.000 0.087

## Properties
Uncorrected formation energy ... -1.4574 eV/atom